Here is HgPd2WBr after structural relaxation from the Alexandria database. Energies are from PBE.

The crystal system is tetragonal. The calculated total energy comes out at -19.87 eV/cell. The uncorrected formation energy is 1.09 eV per atom. Its space-group type is P4/mmm.

Cell lengths 4.874, 4.874, 5.446 Å; angles 90.00, 90.00, 90.00 degrees
Positions (direct):
Hg: 0.000 0.000 0.000
Pd: 0.000 0.500 0.500
Pd: 0.500 0.000 0.500
W: 0.000 0.000 0.500
Br: 0.500 0.500 0.000

---

Here is Nd4SmDy7 after structural relaxation from the Alexandria database. Energies are from PBE.

The crystal system is monoclinic. The calculated total energy comes out at -52.92 eV/cell. The formation enthalpy at 0 K comes out at 0.257 eV/atom. The value obtained for the energy above the most stable polymorph in this dataset is 171 meV per atom. Its space-group type is C2/m.

Cell lengths 6.760, 6.760, 12.845 Å; angles 114.96, 114.96, 52.13 degrees
Positions (direct):
Nd: 0.137 0.137 0.277
Nd: 0.272 0.272 0.830
Nd: 0.728 0.728 0.170
Nd: 0.863 0.863 0.723
Sm: 0.500 0.500 0.500
Dy: 0.000 0.000 0.500
Dy: 0.132 0.132 0.997
Dy: 0.289 0.289 0.577
Dy: 0.432 0.432 0.184
Dy: 0.568 0.568 0.816
Dy: 0.711 0.711 0.423
Dy: 0.868 0.868 0.003

---

Here is Tc2OsSe after structural relaxation from the Alexandria database. Energies are from PBE.

The crystal system is orthorhombic. The calculated total energy comes out at -32.83 eV/cell. The uncorrected formation energy is 0.65 eV per atom. Its space-group type is Cmmm.

Cell lengths 2.755, 2.755, 9.197 Å; angles 90.00, 90.00, 117.36 degrees
Positions (direct):
Tc: 0.000 0.000 0.243
Tc: 0.000 0.000 0.757
Os: 0.500 0.500 0.000
Se: 0.500 0.500 0.500

---

Here is ErTm5Pd4 after structural relaxation from the Alexandria database. Energies are from PBE.

The crystal system is tetragonal. The calculated total energy comes out at -55.03 eV/cell. The formation enthalpy at 0 K comes out at -0.734 eV/atom. Its space-group type is P4/mmm.

Cell lengths 3.473, 3.473, 18.833 Å; angles 90.00, 90.00, 90.00 degrees
Positions (direct):
Er: 0.000 0.000 0.000
Tm: 0.500 0.500 0.134
Tm: 0.500 0.500 0.316
Tm: 0.500 0.500 0.500
Tm: 0.500 0.500 0.684
Tm: 0.500 0.500 0.866
Pd: 0.000 0.000 0.224
Pd: 0.000 0.000 0.407
Pd: 0.000 0.000 0.593
Pd: 0.000 0.000 0.776